DFT (SCAN) results for a crystal of ReO2 relaxed with PBEsol. Values from VASP.

Output
E_tot = -352.49 eV for the cell shown
DOS at the Fermi energy = 0.31 states/eV/atom
calculated density = 11596 kg/m3
E_form (uncorrected) = -1.520 eV per atom

Structure (Quantum ESPRESSO input):
```
&SYSTEM
  ibrav = 0, nat = 12, ntyp = 2
/
ATOMIC_SPECIES
Re 186.21 Re.upf
O 16.00 O.upf
CELL_PARAMETERS angstrom
4.8402 0.0000 0.0000
0.0000 5.6377 0.0000
0.0000 0.0000 4.5803
ATOMIC_POSITIONS crystal
Re 0.0000 0.1077 0.2500
Re 0.0000 0.8923 0.7500
Re 0.5000 0.3923 0.7500
Re 0.5000 0.6077 0.2500
O 0.2413 0.3597 0.0914
O 0.2413 0.6403 0.5914
O 0.2587 0.1403 0.5914
O 0.2587 0.8597 0.0914
O 0.7413 0.1403 0.9086
O 0.7413 0.8597 0.4086
O 0.7587 0.3597 0.4086
O 0.7587 0.6403 0.9086
```